No. 1
## Cd3BIr (PBE-GGA)

Data for Cd3BIr after structural relaxation.

The structure in extended XYZ format:
```
5
Lattice="5.1703 0.0000 0.0000 0.0000 5.1703 0.0000 0.0000 0.0000 5.1703" Properties=species:S:1:pos:R:3 pbc="T T T"
Cd 0.0000 0.0000 2.5852
Cd 0.0000 2.5852 0.0000
Cd 2.5852 0.0000 0.0000
B 2.5852 2.5852 2.5852
Ir 0.0000 0.0000 0.0000
```

## Properties
Symmetry ... Pm-3m
Crystal system ... cubic
Calculated volume ... 138 Å³/cell
Final energy ... -2.39 eV/atom
Distance to the lowest polymorph of the same formula ... 0.409 eV/atom
DFT formation energy ... 1.270 eV per atom
Calculated density ... 6.49 g cm⁻³

***

No. 2
## TlGaO (PBE-GGA)

Data for TlGaO after structural relaxation.

The structure in extended XYZ format:
```
6
Lattice="1.7746 1.0246 10.5446 -1.7746 1.0246 10.5446 0.0000 -2.0491 10.5446" Properties=species:S:1:pos:R:3 pbc="T T T"
Tl 0.0000 0.0000 6.4877
Tl 0.0000 0.0000 25.1462
Ga 0.0000 0.0000 9.3142
Ga 0.0000 0.0000 22.3197
O 0.0000 0.0000 11.3950
O 0.0000 0.0000 20.2389
```

## Properties
Symmetry ... R-3m
Crystal system ... trigonal
Calculated volume ... 115 Å³/cell
Final energy ... -4.23 eV/atom
Uncorrected formation energy ... -0.78 eV/atom
Calculated density ... 8.38 g cm⁻³

***

No. 3
## CaTbPrHg (PBE-GGA)

Data for CaTbPrHg after structural relaxation.

The structure in extended XYZ format:
```
4
Lattice="3.6742 0.0000 0.0000 0.0000 3.6742 0.0000 0.0000 0.0000 9.3903" Properties=species:S:1:pos:R:3 pbc="T T T"
Ca 0.0000 0.0000 0.0000
Tb 0.0000 0.0000 5.4924
Pr 1.8371 1.8371 2.9850
Hg 1.8371 1.8371 7.3750
```

## Properties
Symmetry ... P4mm
Crystal system ... tetragonal
Calculated volume ... 127 Å³/cell
Final energy ... -3.17 eV/atom
Distance to the lowest polymorph of the same formula ... 0.000 eV/atom
DFT formation energy ... -0.245 eV per atom
Calculated density ... 7.08 g cm⁻³

***

No. 4
## KBe2Cd (PBE-GGA)

Data for KBe2Cd after structural relaxation.

The structure in extended XYZ format:
```
4
Lattice="2.6925 0.0000 0.0000 0.0000 3.5759 0.0000 0.0000 0.0000 8.1424" Properties=species:S:1:pos:R:3 pbc="T T T"
K 0.0000 0.0000 0.0000
Be 0.0000 0.0000 3.1662
Be 1.3463 1.7880 2.6619
Cd 1.3463 1.7880 5.2617
```

## Properties
Symmetry ... Pmm2
Crystal system ... orthorhombic
Calculated volume ... 78 Å³/cell
Final energy ... -1.85 eV/atom
DFT formation energy ... 0.520 eV per atom
Calculated density ... 3.59 g cm⁻³

***

What did the fourth record say?
## KBe2Cd (PBE-GGA)

Data for KBe2Cd after structural relaxation.

The structure in extended XYZ format:
```
4
Lattice="2.6925 0.0000 0.0000 0.0000 3.5759 0.0000 0.0000 0.0000 8.1424" Properties=species:S:1:pos:R:3 pbc="T T T"
K 0.0000 0.0000 0.0000
Be 0.0000 0.0000 3.1662
Be 1.3463 1.7880 2.6619
Cd 1.3463 1.7880 5.2617
```

## Properties
Symmetry ... Pmm2
Crystal system ... orthorhombic
Calculated volume ... 78 Å³/cell
Final energy ... -1.85 eV/atom
DFT formation energy ... 0.520 eV per atom
Calculated density ... 3.59 g cm⁻³

***

Please write out number 4 again, unchanged.
## KBe2Cd (PBE-GGA)

Data for KBe2Cd after structural relaxation.

The structure in extended XYZ format:
```
4
Lattice="2.6925 0.0000 0.0000 0.0000 3.5759 0.0000 0.0000 0.0000 8.1424" Properties=species:S:1:pos:R:3 pbc="T T T"
K 0.0000 0.0000 0.0000
Be 0.0000 0.0000 3.1662
Be 1.3463 1.7880 2.6619
Cd 1.3463 1.7880 5.2617
```

## Properties
Symmetry ... Pmm2
Crystal system ... orthorhombic
Calculated volume ... 78 Å³/cell
Final energy ... -1.85 eV/atom
DFT formation energy ... 0.520 eV per atom
Calculated density ... 3.59 g cm⁻³